A plane-wave DFT calculation with PBEsol was carried out for an optimized crystal structure of Cr3Re.

CIF file:
```
data_Cr3Re
_chemical_formula_sum 'Cr6 Re2'
_cell_length_a 2.911
_cell_length_b 4.186
_cell_length_c 8.021
_cell_angle_alpha 90.00
_cell_angle_beta 90.00
_cell_angle_gamma 90.00
_space_group_name_H-M_alt 'C m m m'
_space_group_IT_number 65
_space_group_name_Hall '-C 2 2'
loop_
_atom_site_label
_atom_site_type_symbol
_atom_site_fract_x
_atom_site_fract_y
_atom_site_fract_z
Cr1 Cr 0.000 0.000 0.000
Cr2 Cr 0.000 0.500 0.237
Re1 Re 0.000 0.000 0.500
```

Results
As for the energy relative to the elements: 0.10 eV per atom. For the size of the total moment, the calculation gives 0.00 μB/cell.